## RbTaNb (PBE)

Data for RbTaNb after structural relaxation.

The structure in extended XYZ format:
```
3
Lattice="0.000 3.428 3.428 3.428 0.000 3.428 3.428 3.428 0.000" Properties=species:S:1:pos:R:3 pbc="T T T"
Nb 0.000 0.000 0.000
Rb 1.714 1.714 1.714
Ta 5.141 5.141 5.141
```

Output
The calculation puts the electronic total energy at -5.3143 eV per atom.

## TaReNO (PBE)

Data for TaReNO after structural relaxation.

The structure in extended XYZ format:
```
8
Lattice="0.352 2.320 3.331 -2.033 2.947 -1.946 -4.559 -2.148 1.804" Properties=species:S:1:pos:R:3 pbc="T T T"
N -2.929 3.154 1.698
N -3.311 -0.041 1.491
O -4.873 0.352 3.657
O -5.921 0.628 1.336
Re -0.720 0.999 0.444
Re -5.522 2.128 2.748
Ta -2.519 1.397 2.926
Ta -3.722 1.713 0.263
```

Output
The calculation puts the electronic total energy at -9.7012 eV per atom.

## TbMgGa4Pt2 (PBE)

Data for TbMgGa4Pt2 after structural relaxation.

The structure in extended XYZ format:
```
8
Lattice="-5.286 2.133 -3.846 -2.798 1.126 4.470 -0.454 4.410 3.070" Properties=species:S:1:pos:R:3 pbc="T T T"
Ga -2.754 2.666 1.644
Ga -4.927 3.543 0.063
Ga -3.094 3.930 4.036
Ga -6.319 5.231 1.690
Mg -2.997 5.104 6.951
Pt -0.661 1.126 1.533
Pt -5.216 5.448 4.045
Tb -2.895 1.496 -1.338
```

Output
The calculation puts the electronic total energy at -4.5516 eV per atom.

## YSc2Si4Ni4 (PBE)

Data for YSc2Si4Ni4 after structural relaxation.

The structure in extended XYZ format:
```
11
Lattice="-1.937 3.285 6.386 1.937 -3.285 6.386 1.937 3.285 -6.386" Properties=species:S:1:pos:R:3 pbc="T T T"
Ni 0.000 1.293 4.119
Ni 0.000 1.293 8.653
Ni 1.937 1.991 -2.267
Ni 1.937 1.991 2.267
Sc 0.000 0.000 1.605
Sc 0.000 0.000 11.167
Si 0.000 2.084 6.386
Si 0.000 3.285 2.853
Si 1.937 0.000 3.533
Si 1.937 1.200 0.000
Y 0.000 3.285 0.000
```

Output
The calculation puts the electronic total energy at -6.5951 eV per atom.